Entry 1:
Ti4Ni4Ge7: single point on PBEsol structure, meta-GGA SCAN.

POSCAR file:
```
Ti4Ni4Ge7
1.0
-6.3938 6.3938 2.5213
6.3938 -6.3938 2.5213
6.3938 6.3938 -2.5213
Ti Ni Ge
8 8 14
Cartesian
2.4161 0.0000 0.0000
10.3715 0.0000 0.0000
0.0000 2.4161 0.0000
4.6706 4.6706 0.0000
1.7232 -1.7232 2.5213
-1.7232 1.7232 2.5213
1.7232 1.7232 2.5213
0.0000 10.3715 0.0000
4.4791 -1.9146 1.2606
8.3084 -1.9146 1.2606
4.4791 1.9146 1.2606
8.3084 1.9146 1.2606
-1.9146 4.4791 1.2606
1.9146 4.4791 1.2606
-1.9146 8.3084 1.2606
1.9146 8.3084 1.2606
5.1644 0.0000 0.0000
7.6232 0.0000 0.0000
2.5711 2.5711 0.0000
3.8227 -3.8227 2.5213
6.3938 2.8016 0.0000
0.0000 0.0000 1.2687
0.0000 5.1644 0.0000
2.8016 6.3938 0.0000
3.5921 0.0000 2.5213
0.0000 7.6232 0.0000
0.0000 0.0000 3.7738
0.0000 3.5921 2.5213
-3.8227 3.8227 2.5213
3.8227 3.8227 2.5213
```

## Properties
energy relative to the elements: -861 kJ/mol of formula units
total moment: 0.000 μB per cell
theoretical density: 7.53 Mg/m³


Entry 2:
SrHgSb2: single point on PBEsol structure, meta-GGA SCAN.

POSCAR file:
```
SrHgSb2
1.0
4.6321 0.0000 0.0000
0.0000 4.6321 0.0000
0.0000 0.0000 5.0845
Sr Hg Sb
1 1 2
Cartesian
0.0000 0.0000 0.0000
2.3160 2.3160 0.0000
0.0000 2.3160 2.5422
2.3160 0.0000 2.5422
```

## Properties
total moment: 0.000 μB per cell
formation energy from raw total energies: -0.5144 eV per atom
theoretical density: 8.09 Mg/m³


Entry 3:
LaMn3In: single point on PBEsol structure, meta-GGA SCAN.

POSCAR file:
```
LaMn3In
1.0
4.9474 0.0000 0.0000
0.0000 4.9474 0.0000
0.0000 0.0000 4.9474
La Mn In
1 3 1
Cartesian
0.0000 0.0000 0.0000
0.0000 2.4737 2.4737
2.4737 0.0000 2.4737
2.4737 2.4737 0.0000
2.4737 2.4737 2.4737
```

## Properties
energy relative to the elements: 189 kJ/mol of formula units
total moment: 11.480 μB per cell
theoretical density: 5.74 Mg/m³


Entry 4:
MnPbSeN2: single point on PBEsol structure, meta-GGA SCAN.

POSCAR file:
```
MnPbSeN2
1.0
3.8112 0.0000 0.0000
0.0000 3.8112 0.0000
0.0000 0.0000 5.0187
Mn Pb Se N
1 1 1 2
Cartesian
0.0000 0.0000 0.0000
1.9056 1.9056 2.5093
0.0000 0.0000 2.5093
0.0000 1.9056 0.0000
1.9056 0.0000 0.0000
```

## Properties
total moment: 1.133 μB per cell
formation energy from raw total energies: 0.5380 eV per atom
theoretical density: 8.41 Mg/m³


Entry 5:
AlNi2Au: single point on PBEsol structure, meta-GGA SCAN.

POSCAR file:
```
AlNi2Au
1.0
-1.8577 1.8577 3.6651
1.8577 -1.8577 3.6651
1.8577 1.8577 -3.6651
Al Ni Au
1 2 1
Cartesian
0.0000 0.0000 0.0000
1.8577 0.0000 1.8325
0.0000 0.0000 3.6651
0.0000 1.8577 1.8325
```

## Properties
energy relative to the elements: -155 kJ/mol of formula units
total moment: 0.000 μB per cell
theoretical density: 11.20 Mg/m³


Entry 6:
Ba3SnAu: single point on PBEsol structure, meta-GGA SCAN.

POSCAR file:
```
Ba3SnAu
1.0
6.5400 0.0000 0.0000
0.0000 6.5400 0.0000
0.0000 0.0000 6.5400
Ba Sn Au
3 1 1
Cartesian
0.0000 0.0000 3.2700
0.0000 3.2700 0.0000
3.2700 0.0000 0.0000
0.0000 0.0000 0.0000
3.2700 3.2700 3.2700
```

## Properties
energy relative to the elements: -58 kJ/mol of formula units
total moment: 0.000 μB per cell
theoretical density: 4.32 Mg/m³


Entry 7:
ScBeS3: single point on PBEsol structure, meta-GGA SCAN.

POSCAR file:
```
ScBeS3
1.0
4.8178 0.0000 0.0000
0.0000 4.8178 0.0000
0.0000 0.0000 4.8178
Sc Be S
1 1 3
Cartesian
0.0000 0.0000 0.0000
2.4089 2.4089 2.4089
0.0000 0.0000 2.4089
0.0000 2.4089 0.0000
2.4089 0.0000 0.0000
```

## Properties
total moment: 0.001 μB per cell
formation energy from raw total energies: 0.0200 eV per atom
theoretical density: 2.23 Mg/m³


Entry 8:
AgN2Cl: single point on PBEsol structure, meta-GGA SCAN.

POSCAR file:
```
AgN2Cl
1.0
1.6536 0.9547 5.6435
-1.6536 0.9547 5.6435
0.0000 -1.9095 5.6435
Ag N Cl
1 2 1
Cartesian
0.0000 0.0000 0.0000
0.0000 0.0000 6.5981
0.0000 0.0000 10.3325
0.0000 0.0000 8.4653
```

## Properties
total moment: 0.000 μB per cell
formation energy from raw total energies: 1.4736 eV per atom
theoretical density: 5.32 Mg/m³


Entry 9:
ScP2Ir: single point on PBEsol structure, meta-GGA SCAN.

POSCAR file:
```
ScP2Ir
1.0
-1.8966 2.6075 3.1634
1.8966 -2.6075 3.1634
1.8966 2.6075 -3.1634
Sc P Ir
1 2 1
Cartesian
0.0000 0.0000 0.0000
1.8966 0.0000 1.8038
0.0000 2.6075 1.3597
0.0000 0.0000 3.1634
```

## Properties
energy relative to the elements: -268 kJ/mol of formula units
ΔE to the lowest computed polymorph: 0.0 meV per atom
total moment: 0.000 μB per cell
theoretical density: 7.94 Mg/m³


Entry 10:
Mn2IrAu: single point on PBEsol structure, meta-GGA SCAN.

POSCAR file:
```
Mn2IrAu
1.0
2.6788 0.0000 0.0000
0.0000 2.6788 0.0000
0.0000 0.0000 7.5486
Mn Ir Au
2 1 1
Cartesian
0.0000 0.0000 1.7538
0.0000 0.0000 5.7949
1.3394 1.3394 0.0000
1.3394 1.3394 3.7743
```

## Properties
energy relative to the elements: -120 kJ/mol of formula units
ΔE to the lowest computed polymorph: 91.2 meV per atom
total moment: 7.366 μB per cell
theoretical density: 15.30 Mg/m³


Entry 11:
CrAuSe: single point on PBEsol structure, meta-GGA SCAN.

POSCAR file:
```
CrAuSe
1.0
-1.4976 1.4976 5.6142
1.4976 -1.4976 5.6142
1.4976 1.4976 -5.6142
Cr Au Se
1 1 1
Cartesian
0.0000 0.0000 0.0000
0.0000 0.0000 3.7816
0.0000 0.0000 6.9032
```

## Properties
total moment: 3.107 μB per cell
formation energy from raw total energies: -0.1179 eV per atom
theoretical density: 10.81 Mg/m³


Entry 12:
Li2Ca2Y: single point on PBEsol structure, meta-GGA SCAN.

POSCAR file:
```
Li2Ca2Y
1.0
-1.8634 1.8634 10.9350
1.8634 -1.8634 10.9350
1.8634 1.8634 -10.9350
Li Ca Y
2 2 1
Cartesian
1.8634 0.0000 5.4675
0.0000 1.8634 5.4675
0.0000 0.0000 2.6073
0.0000 0.0000 19.2628
0.0000 0.0000 10.9350
```

## Properties
energy relative to the elements: 65 kJ/mol of formula units
total moment: 0.677 μB per cell
theoretical density: 2.00 Mg/m³